(1)
# TmCdSe (PBE, optimized geometry)
data_TmCdSe
_cell_length_a 3.528
_cell_length_b 8.335
_cell_length_c 8.335
_cell_angle_alpha 119.91
_cell_angle_beta 90.00
_cell_angle_gamma 90.00
_symmetry_space_group_name_H-M 'P 1'
_symmetry_Int_Tables_number 1
_symmetry_space_group_name_Hall 'P 1'
loop_
_atom_site_label
_atom_site_fract_x
_atom_site_fract_y
_atom_site_fract_z
Se1 0.000 0.999 0.999
Se2 0.000 0.667 0.333
Se3 0.000 0.333 0.667
Tm1 0.500 0.000 0.667
Tm2 0.500 0.334 0.334
Tm3 0.500 0.667 0.000
Cd1 0.000 0.333 0.001
Cd2 0.000 0.001 0.333
Cd3 0.000 0.666 0.666
# SG: No. 38
# V, Å³/cell: 213
# Magnetic moment, μB per formula unit: 0.0
# Final energy, eV/atom: -3.444
# Crystal system: orthorhombic

=====

(2)
# ZnCdSe2 (PBE, optimized geometry)
data_ZnCdSe2
_cell_length_a 4.207
_cell_length_b 4.207
_cell_length_c 6.001
_cell_angle_alpha 90.00
_cell_angle_beta 90.00
_cell_angle_gamma 90.00
_symmetry_space_group_name_H-M 'P 1'
_symmetry_Int_Tables_number 1
_symmetry_space_group_name_Hall 'P 1'
loop_
_atom_site_label
_atom_site_fract_x
_atom_site_fract_y
_atom_site_fract_z
Se1 0.500 0.000 0.273
Se2 0.000 0.500 0.727
Cd1 0.000 0.000 0.000
Zn1 0.500 0.500 0.500
# SG: No. 115
# V, Å³/cell: 106
# Final energy, eV/atom: -2.948
# Crystal system: tetragonal

=====

(3)
# ZnCdSe2 (PBE, optimized geometry)
data_ZnCdSe2
_cell_length_a 4.200
_cell_length_b 4.200
_cell_length_c 6.931
_cell_angle_alpha 90.00
_cell_angle_beta 90.00
_cell_angle_gamma 120.00
_symmetry_space_group_name_H-M 'P 1'
_symmetry_Int_Tables_number 1
_symmetry_space_group_name_Hall 'P 1'
loop_
_atom_site_label
_atom_site_fract_x
_atom_site_fract_y
_atom_site_fract_z
Cd1 0.000 0.000 0.005
Zn1 0.333 0.667 0.498
Se1 0.333 0.667 0.857
Se2 0.000 0.000 0.390
# SG: No. 156
# V, Å³/cell: 106
# Final energy, eV/atom: -2.932
# Crystal system: trigonal